1.
{"formula": "VIr9W2", "functional": "GGA-PBE", "state": "optimized geometry", "dft_energy_ev_per_atom": -9.92, "lattice_angstrom": [[-0.470, 0.583, -3.808], [3.641, -1.184, -0.631], [-3.766, -10.939, -1.209]], "species": ["V", "Ir", "Ir", "Ir", "Ir", "Ir", "Ir", "Ir", "Ir", "Ir", "W", "W"], "frac_coords": [[0.000, 0.000, 0.000], [0.000, 0.500, 0.165], [0.500, 0.000, 0.500], [0.500, 0.500, 0.333], [0.000, 0.500, 0.835], [0.500, 0.000, 0.165], [0.500, 0.000, 0.835], [0.500, 0.500, 0.667], [0.500, 0.500, 0.000], [0.000, 0.500, 0.500], [0.000, 0.000, 0.330], [0.000, 0.000, 0.670]]}

=====

2.
{"formula": "Mg2TlIn", "functional": "GGA-PBE", "state": "optimized geometry", "dft_energy_ev_per_atom": -2.12, "lattice_angstrom": [[-2.129, -4.420, -1.492], [1.952, 0.115, -3.127], [3.797, -2.597, 2.273]], "species": ["In", "Mg", "Mg", "Tl"], "frac_coords": [[0.500, 0.625, 0.880], [0.500, 0.125, 0.383], [0.000, 0.125, 0.868], [0.000, 0.625, 0.369]]}

=====

3.
{"formula": "CrInCo2H", "functional": "GGA-PBE", "state": "optimized geometry", "dft_energy_ev_per_atom": -5.86, "lattice_angstrom": [[-1.507, -3.438, 0.998], [3.503, -1.192, 1.183], [-0.710, 1.303, 3.418]], "species": ["Co", "Co", "Cr", "H", "In"], "frac_coords": [[0.500, 0.000, 0.000], [0.000, 0.500, 0.000], [0.000, 0.000, 0.500], [0.000, 0.000, 0.000], [0.500, 0.500, 0.500]]}

=====

4.
{"formula": "Pr5ErGa6", "functional": "GGA-PBE", "state": "optimized geometry", "dft_energy_ev_per_atom": -4.43, "lattice_angstrom": [[-0.674, -4.747, 2.094], [5.828, -6.876, -0.627], [6.455, -1.037, 6.269]], "species": ["Ga", "Ga", "Ga", "Ga", "Ga", "Ga", "Pr", "Pr", "Pr", "Pr", "Pr", "Er"], "frac_coords": [[0.239, 0.599, 0.323], [0.270, 0.230, 0.000], [0.761, 0.401, 0.677], [0.730, 0.770, 0.000], [0.761, 0.077, 0.323], [0.239, 0.923, 0.677], [0.500, 0.174, 0.652], [0.000, 0.663, 0.674], [0.500, 0.826, 0.348], [0.500, 0.500, 0.000], [0.000, 0.337, 0.326], [0.000, 0.000, 0.000]]}

=====

5.
{"formula": "LiGaSe2", "functional": "GGA-PBE", "state": "optimized geometry", "e_form_raw_kj_per_mol_atoms": -61, "lattice_angstrom": [[3.830, 0.000, 0.000], [0.000, 3.830, 0.000], [0.000, 0.000, 5.266]], "species": ["Ga", "Se", "Se", "Li"], "frac_coords": [[0.500, 0.500, 0.000], [0.000, 0.000, 0.000], [0.500, 0.500, 0.500], [0.000, 0.000, 0.500]]}

=====

6.
{"formula": "Pm3Dy2Ag2", "functional": "GGA-PBE", "state": "optimized geometry", "dft_energy_ev_per_atom": -4.28, "lattice_angstrom": [[-2.524, -2.697, -0.745], [4.936, -0.715, -4.604], [1.830, -3.978, 8.200]], "species": ["Pm", "Pm", "Pm", "Dy", "Dy", "Ag", "Ag"], "frac_coords": [[0.610, 0.219, 0.445], [0.500, 0.000, 0.000], [0.390, 0.781, 0.555], [0.148, 0.296, 0.814], [0.852, 0.704, 0.186], [0.824, 0.648, 0.777], [0.176, 0.352, 0.223]]}

=====

7.
{"formula": "ErHfMgRe", "functional": "GGA-PBE", "state": "optimized geometry", "dft_energy_ev_per_atom": -7.15, "lattice_angstrom": [[-0.183, 4.531, -1.729], [-2.589, 0.973, -3.988], [-4.107, 2.562, 0.339]], "species": ["Er", "Mg", "Hf", "Re"], "frac_coords": [[0.250, 0.250, 0.250], [0.000, 0.000, 0.000], [0.750, 0.750, 0.750], [0.500, 0.500, 0.500]]}

=====

8.
{"formula": "RbMnBr2Cl", "functional": "GGA-PBE", "state": "optimized geometry", "e_form_raw_kj_per_mol_atoms": -120, "lattice_angstrom": [[7.209, 0.000, 0.000], [0.000, 7.209, 0.000], [-3.604, -3.604, 6.012]], "species": ["Mn", "Mn", "Cl", "Cl", "Br", "Br", "Br", "Br", "Rb", "Rb"], "frac_coords": [[0.537, 0.537, 0.075], [0.037, 0.037, 0.075], [0.733, 0.733, 0.466], [0.233, 0.233, 0.466], [0.795, 0.687, 0.982], [0.187, 0.295, 0.982], [0.295, 0.795, 0.982], [0.687, 0.187, 0.982], [0.248, 0.748, 0.496], [0.748, 0.248, 0.496]]}

=====

9.
{"formula": "Pa2MnSi2", "functional": "GGA-PBE", "state": "optimized geometry", "e_form_raw_kj_per_mol_atoms": -49, "lattice_angstrom": [[-2.910, 2.451, 0.286], [-2.542, -0.634, 5.008], [4.343, 7.699, 3.664]], "species": ["Mn", "Mn", "Pa", "Pa", "Pa", "Pa", "Si", "Si", "Si", "Si"], "frac_coords": [[0.550, 0.191, 0.709], [0.450, 0.809, 0.291], [0.280, 0.799, 0.641], [0.890, 0.325, 0.895], [0.720, 0.201, 0.359], [0.110, 0.675, 0.105], [0.030, 0.350, 0.590], [0.382, 0.120, 0.115], [0.618, 0.880, 0.885], [0.970, 0.650, 0.410]]}

=====

10.
{"formula": "LuAl2Pd", "functional": "GGA-PBE", "state": "optimized geometry", "dft_energy_ev_per_atom": -4.87, "lattice_angstrom": [[-3.870, -0.965, -1.889], [-0.044, -3.588, 1.923], [-1.957, 1.705, 3.137]], "species": ["Al", "Al", "Pd", "Lu"], "frac_coords": [[0.000, 0.000, 0.500], [0.000, 0.500, 0.000], [0.500, 0.500, 0.500], [0.500, 0.000, 0.000]]}

=====

11.
{"formula": "ZrTi4In5", "functional": "GGA-PBE", "state": "optimized geometry", "dft_energy_ev_per_atom": -5.44, "lattice_angstrom": [[3.628, 0.000, 0.000], [0.000, 3.628, 0.000], [0.000, 0.000, 15.238]], "species": ["Ti", "Ti", "Ti", "Ti", "In", "In", "In", "In", "In", "Zr"], "frac_coords": [[0.000, 0.000, 0.791], [0.000, 0.000, 0.403], [0.000, 0.000, 0.597], [0.000, 0.000, 0.209], [0.500, 0.500, 0.500], [0.500, 0.500, 0.110], [0.500, 0.500, 0.695], [0.500, 0.500, 0.305], [0.500, 0.500, 0.890], [0.000, 0.000, 0.000]]}

=====

12.
{"formula": "Zr3B", "functional": "GGA-PBE", "state": "optimized geometry", "dft_energy_ev_per_atom": -8.14, "lattice_angstrom": [[-2.703, 0.241, -1.843], [-0.704, -5.500, 0.315], [-0.604, 3.123, 4.213]], "species": ["Zr", "Zr", "Zr", "B"], "frac_coords": [[0.318, 0.675, 0.635], [0.682, 0.040, 0.365], [0.500, 0.381, 0.000], [0.000, 0.072, 0.000]]}